[1]
Material: Ho6HPb3
Method: DFT, PBE
State: optimized geometry

Results
crystal system = orthorhombic
V = 25.6 Å³ per atom
E = -4.610 eV/atom
DOS(E_F) = 13.33 states/eV per cell

Unit cell a=10.4051 b=10.4051 c=4.8402 alpha=90.00 beta=90.00 gamma=102.25
Last column: nearest neighbours and their distance in Å.
Fractional positions:
Ho 0.0754 0.9246 0.4999  1 H 2.21
Ho 0.0837 0.5811 0.4999  1 H 2.28
Ho 0.2521 0.7479 0.9998  2 H 2.50-2.51
Ho 0.2539 0.4097 0.0000  6 Pb 3.28-3.60, 4 Ho 3.50-3.53
Ho 0.4097 0.2539 0.5000  6 Pb 3.28-3.60, 4 Ho 3.50-3.53
Ho 0.4189 0.9163 0.4999  1 H 2.28
Ho 0.5811 0.0837 0.9999  1 H 2.28
Ho 0.5903 0.7461 0.0000  6 Pb 3.28-3.60, 4 Ho 3.50-3.53
Ho 0.7461 0.5903 0.5000  6 Pb 3.28-3.60, 4 Ho 3.50-3.53
Ho 0.7479 0.2521 0.4998  2 H 2.50-2.51
Ho 0.9163 0.4189 0.9999  1 H 2.28
Ho 0.9246 0.0754 0.9999  1 H 2.21
H 0.2118 0.7882 0.5015  3 Ho 2.21-2.28
H 0.7882 0.2118 0.0015  3 Ho 2.21-2.28
Pb 0.0661 0.2628 0.5000  10 Ho 3.26-3.60
Pb 0.2628 0.0661 0.0000  10 Ho 3.26-3.60
Pb 0.4056 0.5944 0.4998  1 H 3.14, 8 Ho 3.28-3.47
Pb 0.5944 0.4056 0.9998  1 H 3.14, 8 Ho 3.28-3.47
Pb 0.7372 0.9339 0.5000  10 Ho 3.26-3.60
Pb 0.9339 0.7372 0.0000  10 Ho 3.26-3.60


[2]
Material: LiTbPd
Method: DFT, PBE
State: optimized geometry

Results
formation energy from the elements = -503 meV/atom
distance to the lowest polymorph of the same formula = 91 meV/atom
crystal system = orthorhombic
V = 22.7 Å³ per atom
E = -4.416 eV/atom
DOS(E_F) = 3.08 states/eV per cell

Unit cell a=4.6643 b=3.4972 c=8.3590 alpha=90.00 beta=90.00 gamma=90.00
Last column: nearest neighbours and their distance in Å.
Fractional positions:
Li 0.2500 0.0000 0.0856  1 Pd 2.58, 2 Li 2.74
Li 0.7500 0.0000 0.9144  1 Pd 2.58, 2 Li 2.74
Tb 0.2500 0.5000 0.6785  6 Pd 2.95-2.98
Tb 0.7500 0.5000 0.3215  6 Pd 2.95-2.98
Pd 0.2500 0.0000 0.3938  1 Li 2.58
Pd 0.7500 0.0000 0.6062  1 Li 2.58


[3]
Material: SrLiAs2
Method: DFT, PBE
State: optimized geometry

Results
formation energy from the elements = -318 meV/atom
distance to the lowest polymorph of the same formula = 454 meV/atom
crystal system = orthorhombic
V = 24.9 Å³ per atom
E = -3.542 eV/atom
DOS(E_F) = 2.30 states/eV per cell

Unit cell a=3.0389 b=5.3345 c=6.1416 alpha=90.00 beta=90.00 gamma=90.00
Last column: nearest neighbours and their distance in Å.
Fractional positions:
Sr 0.0000 0.0000 0.0000  2 Sr 3.04, 6 As 3.07
Li 0.5000 0.5000 0.5017  2 Li 3.04, 6 As 3.06-3.08
As 0.0000 0.0000 0.5001  2 As 3.04, 4 Li 3.07, 2 Sr 3.07
As 0.5000 0.5000 0.0006  2 As 3.04, 2 Li 3.06-3.08, 4 Sr 3.07


[4]
Material: Cd2NiSn
Method: DFT, PBE
State: optimized geometry

Results
formation energy from the elements = 220 meV/atom
crystal system = tetragonal
V = 21.1 Å³ per atom
E = -2.683 eV/atom
DOS(E_F) = 4.80 states/eV per cell

Unit cell a=10.5971 b=10.5971 c=10.5971 alpha=157.89 beta=157.89 gamma=31.46
Last column: nearest neighbours and their distance in Å.
Fractional positions:
Cd 0.1088 0.6250 0.9838  4 Cd 2.78-2.97, 2 Ni 2.90, 2 Sn 2.95
Cd 0.3750 0.3588 0.4838  4 Cd 2.78-2.97, 2 Ni 2.90, 2 Sn 2.95
Cd 0.6412 0.1250 0.0162  4 Cd 2.78-2.97, 2 Ni 2.90, 2 Sn 2.95
Cd 0.8750 0.8912 0.5162  4 Cd 2.78-2.97, 2 Ni 2.90, 2 Sn 2.95
Ni 0.0000 0.0000 0.0000  4 Sn 2.87, 4 Cd 2.90
Ni 0.7500 0.2500 0.5000  4 Sn 2.87, 4 Cd 2.90
Sn 0.2500 0.7500 0.5000  4 Ni 2.87, 4 Cd 2.95
Sn 0.5000 0.5000 0.0000  4 Ni 2.87, 4 Cd 2.95


- Which value of E does entry 3 give?
  -3.542 eV/atom